This record from Alexandria via LeMat-Bulk describes a relaxed structure of Ti3In2Br9. The functional is GGA-PBE.

- Total DFT energy (no corrections): -4.128 eV per atom
- Fermi-level density of states: 5.490 states/eV/cell
- Space-group type: C2/m
- M_tot: 1.989 μB/f.u.
- Density: 4.16 g cm⁻³

```
28
Lattice="5.539 -8.638 0.000 5.539 8.638 0.000 -4.246 0.000 9.121" Properties=species:S:1:pos:R:3 pbc="T T T"
Ti -1.182 1.531 5.882
Ti -0.080 0.000 3.362
Ti -1.182 -1.531 5.882
Ti 8.015 1.531 3.238
Ti 6.913 0.000 5.759
Ti 8.015 -1.531 3.238
In 3.682 2.825 1.558
In 3.151 2.825 7.562
In 3.682 -2.825 1.558
In 3.151 -2.825 7.562
Br 4.538 6.888 1.735
Br -0.179 3.510 7.573
Br 2.294 6.888 7.386
Br 1.056 1.851 4.691
Br 3.416 5.110 4.560
Br 2.124 0.000 1.879
Br -0.067 0.000 7.584
Br 1.056 -1.851 4.691
Br 7.012 3.510 1.547
Br -0.179 -3.510 7.573
Br 5.777 1.851 4.430
Br 6.900 0.000 1.537
Br 4.709 0.000 7.242
Br 3.416 -5.110 4.560
Br 5.777 -1.851 4.430
Br 4.538 -6.888 1.735
Br 7.012 -3.510 1.547
Br 2.294 -6.888 7.386
```